Compound: Eu3InH
Source: the Alexandria database
Functional: PBE
Structure: optimized geometry

```
data_Eu3InH
_chemical_formula_sum 'Eu3 In1 H1'
_cell_length_a 5.1072
_cell_length_b 5.1072
_cell_length_c 5.1072
_cell_angle_alpha 90.00
_cell_angle_beta 90.00
_cell_angle_gamma 90.00
_space_group_name_H-M_alt 'P m -3 m'
_space_group_IT_number 221
_space_group_name_Hall '-P 4 2 3'
loop_
_atom_site_label
_atom_site_type_symbol
_atom_site_fract_x
_atom_site_fract_y
_atom_site_fract_z
Eu1 Eu 0.0000 0.0000 0.5000
In1 In 0.5000 0.5000 0.5000
H1 H 0.0000 0.0000 0.0000
```

For the energy, the calculation gives -0.570 Ry/atom.